Here is an optimized crystal structure of Hf6HgBi from the Alexandria database. Energies are from PBE.

a b c (Å): 5.225 6.163 6.163
angles (deg): 115.32 90.00 90.00
Element x y z (fractional)
Hf (0.500, 0.000, 0.500)
Hf (0.500, 0.500, 0.000)
Hf (0.000, 0.750, 0.250)
Hf (0.000, 0.232, 0.232)
Hf (0.000, 0.250, 0.750)
Hf (0.000, 0.768, 0.768)
Bi (0.500, 0.500, 0.500)
Hg (0.500, 0.000, 0.000)

Results
Formation enthalpy at 0 K: 0.021 eV/atom
Size of the total moment: 0.00 μB per atom
Energy relative to the lowest polymorph listed for this composition: 59.5 meV per atom